{
  "formula": "NpGaPd2",
  "functional": "PBE",
  "state": "optimized geometry",
  "formation_energy_ev_per_atom": -0.2085,
  "dos_at_fermi_per_ev_cell": 8.74,
  "lattice": [[-2.141, 1.893, -0.755], [-2.257, -0.807, 4.373], [2.595, 3.744, 2.030]],
  "species": ["Pd", "Pd", "Np", "Ga"],
  "fractional_positions": [[0.000, 0.000, 0.500], [0.000, 0.500, 0.000], [0.500, 0.500, 0.500], [0.500, 0.000, 0.000]]
}